! Ba2VZnO5, optimized geometry, DFT GGA+U; values from VASP
! Space-group type: Cmc2_1, No. 36
! Total DFT energy (no corrections) in eV per atom: -6.287
! Calculated density in g/cm3: 5.60
&SYSTEM
  ibrav = 0, nat = 18, ntyp = 4
/
ATOMIC_SPECIES
O 16.00 O.upf
Ba 137.33 Ba.upf
Zn 65.41 Zn.upf
V 50.94 V.upf
CELL_PARAMETERS angstrom
-1.099 -1.670 -2.733
7.751 0.062 -1.057
0.808 -9.332 5.377
ATOMIC_POSITIONS crystal
O 0.697 0.393 0.891
O 0.332 0.664 0.002
O 0.917 0.833 0.541
O 0.303 0.607 0.391
O 0.496 0.993 0.297
O 0.668 0.336 0.502
O 0.285 0.570 0.630
O 0.083 0.167 0.041
O 0.504 0.007 0.797
O 0.715 0.430 0.130
Ba 0.882 0.765 0.197
Ba 0.118 0.235 0.697
Ba 0.129 0.258 0.298
Ba 0.871 0.742 0.798
Zn 0.561 0.122 0.955
Zn 0.439 0.878 0.455
V 0.785 0.570 0.513
V 0.215 0.430 0.013